Record 1
A plane-wave DFT calculation with GGA-PBE was carried out for TcMo2Pt after structural relaxation.

CIF file:
```
data_TcMo2Pt
_space_group_name_H-M_alt 'C 1 m 1'
_space_group_IT_number 8
_cell_length_a 9.260
_cell_length_b 2.757
_cell_length_c 4.891
_cell_angle_alpha 90.00
_cell_angle_beta 99.26
_cell_angle_gamma 90.00
loop_
_space_group_symop_operation_xyz
'x,y,z'
'x,-y,z'
'x+1/2,y+1/2,z'
'x+1/2,-y+1/2,z'
loop_
_atom_site_label
_atom_site_type_symbol
_atom_site_fract_x
_atom_site_fract_y
_atom_site_fract_z
_atom_site_occupancy
Tc1 Tc 0.000 0.000 0.000 1
Mo1 Mo 0.250 0.000 0.767 1
Mo2 Mo 0.495 0.000 0.497 1
Pt1 Pt 0.246 0.500 0.262 1
```

The value obtained for the relative energy among the computed polymorphs is 0.1296 eV per atom. For the calculated density, the calculation gives 13.1 g/cm3. The energy relative to the elements is -0.0397 eV per atom.


Record 2
A plane-wave DFT calculation with GGA-PBE was carried out for TcMo2Pt after structural relaxation.

CIF file:
```
data_TcMo2Pt
_space_group_name_H-M_alt 'P m m 2'
_space_group_IT_number 25
_cell_length_a 2.774
_cell_length_b 3.957
_cell_length_c 5.650
_cell_angle_alpha 90.00
_cell_angle_beta 90.00
_cell_angle_gamma 90.00
loop_
_space_group_symop_operation_xyz
'x,y,z'
'-x,-y,z'
'-x,y,z'
'x,-y,z'
loop_
_atom_site_label
_atom_site_type_symbol
_atom_site_fract_x
_atom_site_fract_y
_atom_site_fract_z
_atom_site_occupancy
Tc1 Tc 0.000 0.000 0.000 1
Mo1 Mo 0.000 0.000 0.470 1
Mo2 Mo 0.500 0.500 0.216 1
Pt1 Pt 0.500 0.500 0.728 1
```

The value obtained for the relative energy among the computed polymorphs is 0.1560 eV per atom. For the calculated density, the calculation gives 13.0 g/cm3. The energy relative to the elements is -0.0134 eV per atom.


Record 3
A plane-wave DFT calculation with GGA-PBE was carried out for TcMo2Pt after structural relaxation.

CIF file:
```
data_TcMo2Pt
_space_group_name_H-M_alt 'P 1 m 1'
_space_group_IT_number 6
_cell_length_a 2.678
_cell_length_b 4.175
_cell_length_c 5.590
_cell_angle_alpha 90.00
_cell_angle_beta 96.75
_cell_angle_gamma 90.00
loop_
_space_group_symop_operation_xyz
'x,y,z'
'x,-y,z'
loop_
_atom_site_label
_atom_site_type_symbol
_atom_site_fract_x
_atom_site_fract_y
_atom_site_fract_z
_atom_site_occupancy
Tc1 Tc 0.000 0.000 0.000 1
Mo1 Mo 0.401 0.500 0.236 1
Mo2 Mo 0.849 0.000 0.504 1
Pt1 Pt 0.422 0.500 0.744 1
```

The value obtained for the relative energy among the computed polymorphs is 0.1499 eV per atom. For the calculated density, the calculation gives 13.0 g/cm3. The energy relative to the elements is -0.0195 eV per atom.


Record 4
A plane-wave DFT calculation with GGA-PBE was carried out for TcMoPt after structural relaxation.

CIF file:
```
data_TcMoPt
_space_group_name_H-M_alt 'I m m 2'
_space_group_IT_number 44
_cell_length_a 2.666
_cell_length_b 4.084
_cell_length_c 8.414
_cell_angle_alpha 90.00
_cell_angle_beta 90.00
_cell_angle_gamma 90.00
loop_
_space_group_symop_operation_xyz
'x,y,z'
'-x,-y,z'
'-x,y,z'
'x,-y,z'
'x+1/2,y+1/2,z+1/2'
'-x+1/2,-y+1/2,z+1/2'
'-x+1/2,y+1/2,z+1/2'
'x+1/2,-y+1/2,z+1/2'
loop_
_atom_site_label
_atom_site_type_symbol
_atom_site_fract_x
_atom_site_fract_y
_atom_site_fract_z
_atom_site_occupancy
Tc1 Tc 0.000 0.000 0.000 1
Mo1 Mo 0.000 0.000 0.664 1
Pt1 Pt 0.000 0.000 0.334 1
```

The value obtained for the relative energy among the computed polymorphs is 0.0000 eV per atom. For the calculated density, the calculation gives 14.1 g/cm3. The energy relative to the elements is -0.1063 eV per atom.